Record 1
Computed, not measured: a relaxed structure of HgAu2I6 at the PBE level of DFT.

Output
* energy relative to the lowest polymorph listed for this composition: 0.0 meV/atom
* Fermi-level density of states: 6.3 states/eV/cell
* magnetization: 0.000 μB/atom
* mass density: 5.0 g/cm³
* energy relative to the elements, uncorrected: -87 meV per atom

a b c (Å): 17.921 18.211 5.773
angles (deg): 90.00 108.15 90.00
Space group C2/c (No. 15)
Unique sites:
Hg: 0.000 0.104 0.250 (multiplicity 4)
Au: 0.134 0.422 0.621 (multiplicity 8)
I: 0.120 0.100 0.082 (multiplicity 8)
I: 0.132 0.279 0.623 (multiplicity 8)
I: 0.135 0.432 0.122 (multiplicity 8)

***

Record 2
Computed, not measured: a relaxed structure of BaSiO3 at the PBE level of DFT.

Output
* Fermi-level density of states: 1.6 states/eV/cell
* magnetization: 0.000 μB/atom
* mass density: 3.7 g/cm³
* energy relative to the elements, uncorrected: 175 meV per atom

a b c (Å): 4.559 4.559 4.559
angles (deg): 90.00 90.00 90.00
Space group Pm-3m (No. 221)
Unique sites:
Ba: 0.000 0.000 0.000 (multiplicity 1)
Si: 0.500 0.500 0.500 (multiplicity 1)
O: 0.000 0.000 0.500 (multiplicity 3)

***

Record 3
Computed, not measured: a relaxed structure of Cs12Na3Cl5 at the PBE level of DFT.

Output
* Fermi-level density of states: 102.9 states/eV/cell
* magnetization: 0.022 μB/atom
* mass density: 2.1 g/cm³
* energy relative to the elements, uncorrected: -899 meV per atom

a b c (Å): 22.756 22.756 22.756
angles (deg): 90.00 90.00 90.00
Space group Ia-3d (No. 230)
Unique sites:
Cs: 0.033 0.050 0.647 (multiplicity 96)
Na: 0.000 0.250 0.125 (multiplicity 24)
Cl: 0.000 0.000 0.000 (multiplicity 16)
Cl: 0.000 0.250 0.375 (multiplicity 24)

***

Record 4
Computed, not measured: a relaxed structure of MnReW2 at the PBE level of DFT.

Output
* energy relative to the lowest polymorph listed for this composition: 171.9 meV/atom
* Fermi-level density of states: 7.9 states/eV/cell
* magnetization: 0.433 μB/atom
* energy relative to the elements: 0.25 eV/atom
* mass density: 16.9 g/cm³

a b c (Å): 3.809 3.809 8.272
angles (deg): 90.00 90.00 90.00
Space group I-4m2 (No. 119)
Unique sites:
Mn: 0.000 0.000 0.000 (multiplicity 2)
Re: 0.000 0.500 0.750 (multiplicity 2)
W: 0.000 0.000 0.500 (multiplicity 2)
W: 0.000 0.500 0.250 (multiplicity 2)

***

Record 5
Computed, not measured: a relaxed structure of V2Co3Pt2 at the PBE level of DFT.

Output
* Fermi-level density of states: 24.0 states/eV/cell
* magnetization: 0.274 μB/atom
* energy relative to the elements: -0.16 eV/atom
* mass density: 12.0 g/cm³

a b c (Å): 4.0639 4.0639 19.4691
angles (deg): 90.00 90.00 120.00
Space group R-3m (No. 166, hexagonal axes)
Unique sites:
V: 0.0000 0.0000 0.1110 (multiplicity 6)
Co: 0.0000 0.0000 0.2335 (multiplicity 6)
Co: 0.0000 0.0000 0.5000 (multiplicity 3)
Pt: 0.0000 0.0000 0.3704 (multiplicity 6)

***

Record 6
Computed, not measured: a relaxed structure of Co2TcPb at the PBE level of DFT.

Output
* Fermi-level density of states: 9.9 states/eV/cell
* magnetization: 0.288 μB/atom
* energy relative to the elements: 0.50 eV/atom
* mass density: 11.6 g/cm³

a b c (Å): 8.533 2.967 4.873
angles (deg): 90.00 101.74 90.00
Space group Cm (No. 8)
Unique sites:
Co: 0.000 0.000 0.000 (multiplicity 2)
Co: 0.239 0.500 0.228 (multiplicity 2)
Tc: 0.263 0.000 0.837 (multiplicity 2)
Pb: 0.497 0.000 0.490 (multiplicity 2)

***

Record 7
Computed, not measured: a relaxed structure of PmNd14Cd at the PBE level of DFT.

Output
* Fermi-level density of states: 19.4 states/eV/cell
* magnetization: 0.000 μB/atom
* energy relative to the elements: -0.01 eV/atom
* mass density: 6.9 g/cm³

a b c (Å): 7.261 7.261 10.342
angles (deg): 90.00 90.00 90.00
Space group P4/mmm (No. 123)
Unique sites:
Pm: 0.000 0.000 0.000 (multiplicity 1)
Nd: 0.000 0.000 0.500 (multiplicity 1)
Nd: 0.000 0.500 0.000 (multiplicity 2)
Nd: 0.000 0.500 0.500 (multiplicity 2)
Nd: 0.252 0.252 0.246 (multiplicity 8)
Nd: 0.500 0.500 0.500 (multiplicity 1)
Cd: 0.500 0.500 0.000 (multiplicity 1)

***

Record 8
Computed, not measured: a relaxed structure of KSr2Ag at the PBE level of DFT.

Output
* energy relative to the lowest polymorph listed for this composition: 5.2 meV/atom
* Fermi-level density of states: 7.9 states/eV/cell
* magnetization: 0.000 μB/atom
* energy relative to the elements: -0.09 eV/atom
* mass density: 2.6 g/cm³

a b c (Å): 4.6157 4.6157 32.9082
angles (deg): 90.00 90.00 120.00
Space group R3m (No. 160, hexagonal axes)
Unique sites:
K: 0.0000 0.0000 0.0000 (multiplicity 3)
Sr: 0.0000 0.0000 0.2210 (multiplicity 3)
Sr: 0.0000 0.0000 0.4468 (multiplicity 3)
Ag: 0.0000 0.0000 0.8341 (multiplicity 3)